Entry 1:
Below is a relaxed structure of Ba5BO8, with properties calculated at the GGA-PBE level.

```
Ba5BO8
1.0
7.269 -0.214 0.368
-2.661 6.768 -0.368
-1.948 -3.528 6.065
Ba B O
5 1 8
Cartesian
-1.309 2.054 1.032
3.251 4.675 1.275
2.951 1.689 3.801
2.661 -1.871 3.216
0.428 -2.365 6.021
-0.974 0.685 4.457
-1.956 1.728 4.761
-1.376 -0.504 5.213
3.671 0.177 1.958
2.395 -0.893 5.618
1.585 2.991 2.042
0.341 1.232 4.802
-0.904 0.282 3.050
-2.330 3.777 2.511
```

Calculated values
Uncorrected formation energy in eV/atom: -2.031
Total moment in μB per formula unit: 3.02
V in Å³/f.u.: 294

---

Entry 2:
Below is a relaxed structure of BaB8O13, with properties calculated at the GGA-PBE level.

```
BaB8O13
1.0
8.778 0.000 0.000
0.000 8.778 0.000
0.000 0.000 13.393
Ba B O
4 32 52
Cartesian
0.000 4.769 6.696
4.009 0.000 10.044
4.769 0.000 3.348
0.000 4.009 0.000
6.864 0.574 13.377
1.915 8.204 6.681
0.574 6.864 10.060
0.574 1.915 10.029
8.204 6.864 3.333
1.915 0.574 0.015
6.864 8.204 6.712
8.204 1.915 3.363
6.487 7.046 0.463
2.291 1.733 7.159
7.046 6.487 9.582
7.046 2.291 10.507
1.733 6.487 3.811
2.291 7.046 12.930
6.487 1.733 6.234
1.733 2.291 2.885
5.594 4.850 1.485
3.185 3.928 8.181
4.850 5.594 8.559
4.850 3.185 11.530
3.928 5.594 4.833
3.185 4.850 11.907
5.594 3.928 5.211
3.928 3.185 1.863
7.604 7.604 11.718
1.175 7.604 1.674
7.604 1.175 8.370
1.175 1.175 5.022
2.439 6.339 8.370
2.439 2.439 11.718
6.339 6.339 5.022
6.339 2.439 1.674
6.174 8.383 0.732
2.604 0.395 7.429
8.383 6.174 9.312
8.383 2.604 10.777
0.395 6.174 4.080
2.604 8.383 12.660
6.174 0.395 5.964
0.395 2.604 2.616
7.421 0.215 12.185
1.357 8.563 5.489
0.215 7.421 11.252
0.215 1.357 8.837
8.563 7.421 2.141
1.357 0.215 1.207
7.421 8.563 7.904
8.563 1.357 4.556
7.292 6.643 12.833
1.486 2.135 6.137
6.643 7.292 10.604
6.643 1.486 9.485
2.135 7.292 2.789
1.486 6.643 0.559
7.292 2.135 7.255
2.135 1.486 3.907
6.591 3.916 1.569
2.188 4.863 8.265
3.916 6.591 8.475
3.916 2.188 11.613
4.863 6.591 4.917
2.188 3.916 11.824
6.591 4.863 5.127
4.863 2.188 1.779
6.927 1.862 0.455
1.851 6.916 7.151
1.862 6.927 9.590
1.862 1.851 10.499
6.916 6.927 3.803
1.851 1.862 12.938
6.927 6.916 6.242
6.916 1.851 2.894
5.810 6.176 1.276
2.968 2.602 7.972
6.176 5.810 8.769
6.176 2.968 11.320
2.602 5.810 4.624
2.968 6.176 12.117
5.810 2.602 5.421
2.602 2.968 2.073
4.508 4.270 8.370
4.508 4.508 11.718
4.270 4.270 5.022
4.270 4.508 1.674
```

Calculated values
Uncorrected formation energy in eV/atom: -2.531
Total moment in μB per formula unit: 0.00
V in Å³/f.u.: 258

---

Entry 3:
Below is a relaxed structure of Ba2B2O5, with properties calculated at the GGA-PBE level.

```
Ba2B2O5
1.0
-0.937 -0.738 5.439
-3.555 0.545 -3.389
5.135 -6.837 -0.044
Ba B O
2 2 5
Cartesian
1.150 -4.762 -0.448
-0.507 -2.268 2.455
3.911 -6.141 -0.160
-3.269 -0.889 2.167
-2.372 0.042 -0.403
3.015 -7.072 2.410
-0.528 -4.943 2.088
1.171 -2.086 -0.082
0.000 0.000 0.000
```

Calculated values
Uncorrected formation energy in eV/atom: -2.587
Total moment in μB per formula unit: 0.00
ΔE to the lowest computed polymorph in eV per formula unit: 1.44
V in Å³/f.u.: 152

---

Entry 4:
Below is a relaxed structure of Ba3B2O6, with properties calculated at the GGA-PBE level.

```
Ba3B2O6
1.0
-3.106 -2.262 -0.487
0.687 -0.124 -3.810
7.292 -7.453 3.526
Ba B O
3 2 6
Cartesian
0.000 0.000 0.000
2.735 -6.799 -1.255
2.139 -3.040 0.485
4.680 -6.653 1.060
0.193 -3.187 -1.830
1.460 -1.649 -1.652
-0.436 -2.718 0.009
3.414 -8.191 0.882
5.310 -7.121 -0.779
0.968 -4.287 -1.655
3.906 -5.552 0.885
```

Calculated values
Uncorrected formation energy in eV/atom: -1.891
Total moment in μB per formula unit: 0.00
V in Å³/f.u.: 160

---

Entry 5:
Below is a relaxed structure of Ba2B2O5, with properties calculated at the GGA-PBE level.

```
Ba2B2O5
1.0
4.155 0.000 0.000
-2.077 7.350 -1.322
0.000 -1.291 5.693
Ba B O
2 2 5
Cartesian
2.077 1.635 3.365
0.000 4.424 1.007
2.077 4.700 4.063
0.000 1.359 0.309
2.077 5.055 -0.612
0.000 1.005 4.984
2.077 4.295 2.740
0.000 1.765 1.631
0.000 0.000 0.000
```

Calculated values
Uncorrected formation energy in eV/atom: -2.689
Total moment in μB per formula unit: 0.00
ΔE to the lowest computed polymorph in eV per formula unit: 0.53
V in Å³/f.u.: 167

---

Entry 6:
Below is a relaxed structure of Ba3BO, with properties calculated at the GGA-PBE level.

```
Ba3BO
1.0
5.362 0.000 0.000
0.000 5.362 0.000
0.000 0.000 5.362
B Ba O
1 3 1
Cartesian
2.681 2.681 2.681
0.000 2.681 0.000
0.000 0.000 2.681
2.681 0.000 0.000
0.000 0.000 0.000
```

Calculated values
Uncorrected formation energy in eV/atom: -0.418
Total moment in μB per formula unit: 0.91
ΔE to the lowest computed polymorph in eV per formula unit: 0.00
V in Å³/f.u.: 154

---

Entry 7:
Below is a relaxed structure of Ba2BO4, with properties calculated at the GGA-PBE level.

```
Ba2BO4
1.0
-0.315 -4.702 -3.087
4.287 2.749 -4.626
3.722 -3.348 4.720
B Ba O
2 4 8
Cartesian
3.957 -1.788 -5.392
3.737 -3.512 2.399
6.014 -3.149 -3.527
6.016 -2.475 0.585
1.679 -2.151 0.534
1.677 -2.825 -3.578
6.481 -4.600 -1.365
6.744 -1.113 -1.563
1.212 -0.700 -1.628
0.949 -4.187 -1.429
3.844 -3.281 -5.326
3.849 -2.019 2.334
3.980 -1.249 -3.993
3.713 -4.051 1.000
```

Calculated values
Uncorrected formation energy in eV/atom: -2.369
Total moment in μB per formula unit: 1.03
ΔE to the lowest computed polymorph in eV per formula unit: 0.24
V in Å³/f.u.: 126

---

Entry 8:
Below is a relaxed structure of BaB4O7, with properties calculated at the GGA-PBE level.

```
BaB4O7
1.0
-1.863 3.005 2.531
-4.911 -6.485 4.084
8.053 -1.354 7.534
Ba B O
4 16 28
Cartesian
0.488 -4.353 10.985
0.792 -0.481 3.163
-1.592 -3.838 5.109
2.872 -0.996 9.040
-4.774 -3.950 6.462
6.053 -0.884 7.687
1.802 0.629 6.373
3.498 -6.139 11.537
-2.218 1.305 2.612
-0.483 -0.789 6.498
-2.781 -4.285 8.326
1.762 -4.045 7.651
-4.578 -2.092 4.524
1.837 -2.066 5.864
-2.476 -0.454 4.634
5.857 -2.742 9.625
-0.558 -2.768 8.285
3.755 -4.380 9.515
-0.523 -5.463 7.776
4.060 -0.549 5.822
0.212 -4.100 7.867
4.524 -3.159 9.284
1.400 1.442 5.257
-3.245 -1.675 4.865
-1.899 -5.167 7.558
5.498 -0.057 8.762
6.554 -2.215 8.343
0.246 -2.142 9.280
-4.219 -4.777 5.387
-0.887 -2.071 7.071
2.237 -6.673 11.097
-3.719 -3.600 7.425
2.400 -4.246 8.960
-0.121 -6.277 8.892
2.166 -2.763 7.078
1.033 -2.693 4.869
-2.332 -0.163 3.101
3.155 -1.644 5.163
3.178 0.333 6.591
1.067 -0.734 6.281
2.567 -2.532 11.451
4.998 -1.234 6.724
-1.121 -0.588 5.189
-5.275 -2.619 5.806
-1.876 -3.190 8.986
-0.958 1.839 3.051
-1.288 -2.303 2.698
3.611 -4.671 11.047
```

Calculated values
Uncorrected formation energy in eV/atom: -2.586
Total moment in μB per formula unit: 0.00
ΔE to the lowest computed polymorph in eV per formula unit: 0.34
V in Å³/f.u.: 110

---

Entry 9:
Below is a relaxed structure of Ba2B2O5, with properties calculated at the GGA-PBE level.

```
Ba2B2O5
1.0
-3.166 -0.073 2.883
-2.991 -4.819 -3.550
6.509 -5.206 6.985
Ba B O
4 4 10
Cartesian
0.798 -6.886 2.157
-1.130 -1.982 0.053
1.482 -8.116 6.266
-0.446 -3.212 4.161
2.278 -5.266 4.431
-2.326 -5.254 -0.737
2.677 -4.844 7.055
-1.926 -4.832 1.887
1.814 -4.521 3.375
0.585 -1.553 2.023
2.543 -6.604 4.331
-2.551 -3.976 -1.168
2.380 -4.545 5.671
-2.028 -5.553 0.647
2.902 -6.122 7.486
-2.192 -3.493 1.987
-0.234 -8.545 4.296
-1.462 -5.577 2.943
```

Calculated values
Uncorrected formation energy in eV/atom: -2.747
Total moment in μB per formula unit: 0.00
ΔE to the lowest computed polymorph in eV per formula unit: 0.00
V in Å³/f.u.: 150

---

Entry 10:
Below is a relaxed structure of Ba2B2O5, with properties calculated at the GGA-PBE level.

```
Ba2B2O5
1.0
4.271 0.000 0.000
0.000 10.880 0.006
0.000 3.640 12.981
Ba B O
8 8 20
Cartesian
3.084 6.633 1.160
1.076 10.272 1.795
3.211 2.428 4.701
0.948 6.067 5.336
3.322 8.453 7.651
1.060 12.092 8.286
3.195 4.248 11.192
1.187 7.887 11.827
3.565 2.180 0.932
0.716 3.922 2.392
2.851 8.778 4.105
1.430 10.520 5.564
2.841 4.000 7.423
1.420 5.742 8.882
3.555 10.598 10.595
0.706 12.340 12.055
0.926 7.967 0.208
0.910 4.914 1.472
0.009 2.700 2.067
3.187 0.865 1.045
3.243 8.715 2.791
1.107 3.985 3.705
2.145 10.000 4.430
3.046 7.786 5.025
3.061 4.733 6.289
1.052 11.835 5.451
1.210 9.787 6.698
1.225 6.734 7.963
2.126 4.520 8.557
3.219 2.685 7.536
3.164 10.535 9.282
1.028 5.806 10.196
4.262 11.820 10.921
3.361 9.606 11.515
3.345 6.553 12.780
1.084 13.655 11.942
```

Calculated values
Uncorrected formation energy in eV/atom: -2.747
Total moment in μB per formula unit: 0.00
ΔE to the lowest computed polymorph in eV per formula unit: 0.00
V in Å³/f.u.: 151

---

Entry 11:
Below is a relaxed structure of BaBO3, with properties calculated at the GGA-PBE level.

```
BaBO3
1.0
-3.467 -2.559 -0.411
1.487 -2.487 4.932
-2.671 3.323 3.814
Ba B O
2 2 6
Cartesian
-1.534 1.439 2.917
-0.891 -2.330 4.327
-3.685 -0.897 5.484
-2.207 -2.553 1.350
-3.623 0.249 4.498
-4.939 -0.376 6.150
-2.208 -1.218 1.925
-2.553 -1.143 6.363
-3.338 -2.307 0.470
-3.684 -2.232 4.909
```

Calculated values
Uncorrected formation energy in eV/atom: -2.277
Total moment in μB per formula unit: 1.00
V in Å³/f.u.: 69

---

Entry 12:
Below is a relaxed structure of Ba2B10O17, with properties calculated at the GGA-PBE level.

```
Ba2B10O17
1.0
-2.848 -5.630 2.575
6.017 -7.853 -2.313
6.209 -1.039 8.164
Ba B O
4 20 34
Cartesian
2.871 -5.185 8.230
6.508 -9.337 0.196
5.228 -8.645 6.583
4.151 -5.877 1.843
3.391 -10.730 1.206
5.987 -3.791 7.219
7.483 -6.319 2.486
1.896 -8.203 5.940
4.770 -4.467 5.076
4.609 -10.054 3.350
9.219 -9.934 7.515
0.160 -4.588 0.910
4.272 -6.760 -1.193
5.106 -7.762 9.618
1.142 -8.129 1.002
8.237 -6.393 7.423
6.526 -12.645 3.405
2.853 -1.876 5.021
7.544 -6.668 4.936
1.835 -7.853 3.489
2.665 -6.015 4.976
6.714 -8.506 3.450
9.641 -9.270 5.149
-0.263 -5.252 3.276
7.898 -9.410 7.931
1.481 -5.112 0.494
6.028 -8.827 9.170
3.351 -5.695 -0.745
5.263 -6.549 8.777
4.115 -7.972 -0.352
7.301 -8.005 4.725
2.078 -6.516 3.700
7.649 -5.779 3.901
1.729 -8.742 4.524
1.867 -4.949 5.624
7.511 -9.572 2.801
9.149 -10.193 6.025
0.230 -4.329 2.400
2.859 -7.097 5.935
6.520 -7.425 2.491
6.012 -12.296 4.626
3.367 -2.225 3.799
5.025 -4.472 6.445
4.354 -10.050 1.980
9.721 -9.499 3.775
-0.343 -5.023 4.650
6.595 -2.660 6.751
2.784 -11.861 1.675
10.285 -8.118 5.548
-0.906 -6.404 2.878
7.507 -6.220 6.254
1.872 -8.302 2.171
3.206 -10.259 -0.070
6.173 -4.263 8.495
5.378 -3.591 4.223
4.000 -10.931 4.203
5.429 -9.099 3.871
3.950 -5.422 4.555
```

Calculated values
Uncorrected formation energy in eV/atom: -2.582
Total moment in μB per formula unit: 0.00
V in Å³/f.u.: 328

---

| no. | electronic total energy (eV per atom) |
| --- | --- |
| 1 | -6.03 |
| 2 | -7.98 |
| 3 | -7.25 |
| 4 | -6.33 |
| 5 | -7.35 |
| 6 | -3.90 |
| 7 | -6.71 |
| 8 | -7.86 |
| 9 | -7.41 |
| 10 | -7.41 |
| 11 | -6.97 |
| 12 | -7.92 |